Below is an optimized crystal structure of CaFe2Ni, with properties calculated at the PBE level.

Structure (extended XYZ):
```
4
Lattice="-1.311 2.337 -3.057 -3.292 -1.088 -2.123 -4.458 2.985 1.495" Properties=species:S:1:pos:R:3 pbc="T T T"
Fe -3.983 2.568 0.971
Fe -5.005 2.535 -1.318
Ca -2.265 1.059 -0.921
Ni -6.795 3.176 -2.763
```

Space group: No. 166
Total energy: -23.8 eV/cell
DFT formation energy: 0.215 eV/atom
Total moment: 5.68 μB/f.u.

=====

Below is an optimized crystal structure of Tm2Fe5Si3, with properties calculated at the PBE level.

Structure (extended XYZ):
```
20
Lattice="-2.287 2.585 -2.015 0.231 -3.583 -4.858 -8.405 -6.881 4.676" Properties=species:S:1:pos:R:3 pbc="T T T"
Tm -3.228 -4.608 -2.248
Tm -1.365 0.228 -2.122
Tm -7.242 -3.137 0.232
Tm -9.096 -8.117 -0.090
Fe -5.036 -1.121 0.313
Fe -9.509 -3.847 1.893
Fe -7.410 -5.901 0.840
Fe -5.312 -6.559 -2.385
Fe -5.068 -2.595 -1.541
Fe -8.061 -5.497 -1.867
Fe -5.524 -5.228 -0.437
Fe -1.038 -2.710 -2.299
Fe -2.973 -3.201 -4.696
Fe -2.407 -2.291 -0.207
Si -6.146 -4.372 -2.597
Si -3.205 -1.772 -2.599
Si -7.141 -7.897 -2.025
Si -9.530 -5.319 0.029
Si -4.321 -3.407 0.534
Si -0.835 -4.051 -4.248
```

Formation energy without anion corrections: -0.360 eV/atom
Space group: No. 36
Total energy: -142.2 eV/cell
Total moment: 4.23 μB/f.u.

=====

Below is an optimized crystal structure of TmPPd, with properties calculated at the PBE level.

Structure (extended XYZ):
```
3
Lattice="-0.651 -0.735 3.657 2.600 -2.751 -0.090 1.859 4.388 -0.747" Properties=species:S:1:pos:R:3 pbc="T T T"
Tm 1.627 -1.134 2.022
P 1.530 1.428 0.559
Pd 3.609 0.716 2.747
```

Space group: No. 107
Total energy: -17.5 eV/cell
DFT formation energy: -0.805 eV/atom
Total moment: 0.00 μB/f.u.

=====

Below is an optimized crystal structure of CaSm2Se, with properties calculated at the PBE level.

Structure (extended XYZ):
```
4
Lattice="3.896 0.000 0.000 1.948 3.374 0.000 1.948 1.125 10.563" Properties=species:S:1:pos:R:3 pbc="T T T"
Se 3.896 2.249 5.281
Ca 0.000 0.000 0.000
Sm 1.948 1.125 7.055
Sm 5.844 3.374 3.507
```

Formation energy without anion corrections: -0.656 eV/atom
Space group: No. 166
Total energy: -17.5 eV/cell
Total moment: 0.00 μB/f.u.

=====

> Look up the total moment of the first one.

5.68 μB/f.u.